1.
Pr4Dy2HoMg (PBE-GGA, optimized geometry); ΔE_f = 0.37 eV per formula unit
1.0
5.8220 0.0001 0.0000
0.0001 5.6447 1.4258
0.0001 3.7429 8.9460
Pr Dy Ho Mg
4 2 1 1
Direct
0.0000 0.7597 0.7403 Pr
0.0000 0.2403 0.2598 Pr
0.5000 0.7391 0.2606 Pr
0.5000 0.2608 0.7394 Pr
0.0000 0.9997 0.0003 Dy
0.5000 0.0003 0.4997 Dy
0.5000 0.4999 0.0002 Ho
0.0000 0.5003 0.4997 Mg



2.
PuTi2Ni2Sb2 (PBE-GGA, optimized geometry); uncorrected formation energy = -0.495 eV per atom
1.0
-2.6211 -0.5009 3.3688
1.4758 -1.7731 3.6260
1.7847 6.7862 5.1389
Pu Ti Ni Sb
1 2 2 2
Direct
0.0000 0.0000 0.0000 Pu
0.1415 0.1415 0.5754 Ti
0.8585 0.8585 0.4246 Ti
0.5509 0.5509 0.3472 Ni
0.4491 0.4491 0.6528 Ni
0.7431 0.7431 0.7706 Sb
0.2569 0.2569 0.2294 Sb



3.
InMoOs2 (PBE-GGA, optimized geometry); ΔE_f = 1.66 eV per formula unit
1.0
-3.4232 3.2029 -0.8804
-2.0680 0.7541 4.2316
4.6280 0.1806 -1.1404
In Mo Os
1 1 2
Direct
0.2500 0.7500 0.5000 In
0.7500 0.2500 0.5000 Mo
0.0000 0.0000 0.0000 Os
0.5000 0.5000 0.0000 Os



4.
CaCd6In5 (PBE-GGA, optimized geometry); ΔE_f = -0.75 eV per formula unit
1.0
4.4677 -0.0561 -1.4806
-3.0709 8.0250 -1.6554
0.2520 -0.8301 8.7074
Ca In Cd
1 5 6
Direct
0.0000 0.0000 0.0000 Ca
0.5000 0.1672 0.8328 In
0.0000 0.3286 0.6714 In
0.5000 0.5000 0.5000 In
0.0000 0.6714 0.3286 In
0.5000 0.8328 0.1672 In
0.2566 0.0851 0.4214 Cd
0.7434 0.5786 0.9149 Cd
0.7605 0.2549 0.2549 Cd
0.2395 0.7451 0.7451 Cd
0.2566 0.4214 0.0851 Cd
0.7434 0.9149 0.5786 Cd



no.,DOS at the Fermi energy (states/eV per cell)
1,10.3
2,14.8
3,4.4
4,5.5